Entry 1:
The following is a DFT calculation (PBE) of crystalline EuDyIr2 at its relaxed geometry.

The structure in extended XYZ format:
```
4
Lattice="-3.9177 -2.8755 0.5985 0.3826 -4.8330 -0.6866 -0.2413 -3.0433 3.8282" Properties=species:S:1:pos:R:3 pbc="T T T"
Ir -0.9441 -2.6880 0.9350
Dy -1.8882 -5.3759 1.8701
Ir -2.8323 -8.0639 2.8051
Eu 0.0000 0.0000 0.0000
```

Results
SG: Fm-3m, No. 225
E_form: -0.471 eV per atom
Distance to the lowest polymorph of the same formula: 0.041 eV per atom

Entry 2:
The following is a DFT calculation (PBE) of crystalline Eu2DyIr at its relaxed geometry.

The structure in extended XYZ format:
```
4
Lattice="-3.1030 1.5480 1.4947 -0.4385 0.1066 3.7490 3.6349 9.9176 2.0447" Properties=species:S:1:pos:R:3 pbc="T T T"
Ir 0.0467 5.7861 3.6442
Eu -1.9585 4.7334 5.3413
Dy 0.0000 0.0000 0.0000
Eu 2.0520 6.8388 1.9472
```

Results
SG: R-3m, No. 166
E_form: 0.138 eV per atom

Entry 3:
The following is a DFT calculation (PBE) of crystalline EuDyIr2 at its relaxed geometry.

The structure in extended XYZ format:
```
4
Lattice="-2.1814 1.2739 -2.2021 -2.3692 0.0396 2.3698 2.0481 6.8490 1.9332" Properties=species:S:1:pos:R:3 pbc="T T T"
Dy -2.2753 0.6567 0.0839
Ir 1.5742 5.2642 1.4859
Eu -1.2513 4.0812 1.0505
Ir 0.4739 1.5847 0.4473
```

Results
SG: P4/mmm, No. 123
E_form: -0.512 eV per atom
Distance to the lowest polymorph of the same formula: 0.000 eV per atom

Entry 4:
The following is a DFT calculation (PBE) of crystalline EuDyIr4 at its relaxed geometry.

The structure in extended XYZ format:
```
6
Lattice="5.3880 0.0000 0.0000 2.6940 4.6662 0.0000 2.6940 1.5554 4.3993" Properties=species:S:1:pos:R:3 pbc="T T T"
Ir 5.3880 3.1108 0.5517
Eu 0.0000 0.0000 0.0000
Ir 4.0425 3.8876 2.7490
Dy 2.6940 1.5554 1.0998
Ir 6.7336 3.8876 2.7490
Ir 5.3880 1.5571 2.7490
```

Results
SG: F-43m, No. 216
E_form: -0.642 eV per atom

Entry 5:
The following is a DFT calculation (PBE) of crystalline EuDyIr at its relaxed geometry.

The structure in extended XYZ format:
```
3
Lattice="6.2814 0.0000 0.0000 0.0000 4.1294 0.0000 0.0000 -2.0647 3.5762" Properties=species:S:1:pos:R:3 pbc="T T T"
Ir 0.1049 0.0000 0.0000
Eu 4.7363 2.0647 1.1921
Dy 1.4402 0.0000 2.3841
```

Results
SG: P3m1, No. 156
E_form: -0.421 eV per atom
Distance to the lowest polymorph of the same formula: 0.089 eV per atom

Entry 6:
The following is a DFT calculation (PBE) of crystalline EuDyIrPd at its relaxed geometry.

The structure in extended XYZ format:
```
4
Lattice="4.9548 0.0000 0.0000 2.4774 4.2909 0.0000 2.4774 1.4303 4.0455" Properties=species:S:1:pos:R:3 pbc="T T T"
Dy 7.4321 4.2909 3.0342
Pd 4.9548 2.8606 2.0228
Ir 0.0000 0.0000 0.0000
Eu 2.4774 1.4303 1.0114
```

Results
SG: F-43m, No. 216
E_form: -0.665 eV per atom

Entry 7:
The following is a DFT calculation (PBE) of crystalline EuDyZnIr at its relaxed geometry.

The structure in extended XYZ format:
```
4
Lattice="-3.5467 2.4948 -2.4731 -3.0325 -2.4260 -3.1365 -4.8041 -0.6617 1.1841" Properties=species:S:1:pos:R:3 pbc="T T T"
Eu -8.5375 -0.4446 -3.3191
Ir -5.6917 -0.2964 -2.2128
Zn 0.0000 0.0000 0.0000
Dy -2.8458 -0.1482 -1.1064
```

Results
SG: F-43m, No. 216
E_form: -0.428 eV per atom

Entry 8:
The following is a DFT calculation (PBE) of crystalline KEu2Dy at its relaxed geometry.

The structure in extended XYZ format:
```
4
Lattice="3.8154 0.0000 0.0000 0.0000 3.8154 0.0000 0.0000 0.0000 12.1882" Properties=species:S:1:pos:R:3 pbc="T T T"
K 1.9077 1.9077 6.0941
Dy 1.9077 1.9077 0.0000
Eu 0.0000 0.0000 9.6431
Eu 0.0000 0.0000 2.5451
```

Results
SG: P4/mmm, No. 123
E_form: 0.157 eV per atom
Distance to the lowest polymorph of the same formula: 0.000 eV per atom